DFT (meta-GGA SCAN) results for CaTmIn2 at its PBEsol-relaxed geometry.

```
4
Lattice="0.000 3.712 3.712 3.712 0.000 3.712 3.712 3.712 0.000" Properties=species:S:1:pos:R:3 pbc="T T T"
Ca 0.000 0.000 0.000
Tm 3.712 3.712 3.712
In 1.856 1.856 1.856
In 5.569 5.569 5.569
```

Properties
Fermi-level density of states = 1.769 states/eV/f.u.
Total magnetization = 0.00 μB/cell
SG = Fm-3m, No. 225
Calculated density = 7.12 Mg/m³
Energy relative to the elements = -0.580 eV per atom